No. 1
This record from the Alexandria database describes a crystal of Ti3P relaxed with PBEsol. The functional is meta-GGA SCAN.

Values from the calculation:
ΔE_f	-0.925	eV/atom
E	-15.547	eV/atom
DOS(E_F)	0.769	states/eV per atom
magnetization	0.0	μB/cell
calculated volume	476.4	Å³/cell

```
data_Ti3P
_space_group_name_H-M_alt 'P 42/n'
_space_group_IT_number 86
_cell_length_a 9.838
_cell_length_b 9.838
_cell_length_c 4.922
_cell_angle_alpha 90.00
_cell_angle_beta 90.00
_cell_angle_gamma 90.00
loop_
_space_group_symop_operation_xyz
'x,y,z'
'-x,-y,-z'
'-y,x+1/2,z+1/2'
'y,-x+1/2,-z+1/2'
'-x+1/2,-y+1/2,z'
'x+1/2,y+1/2,-z'
'y+1/2,-x,z+1/2'
'-y+1/2,x,-z+1/2'
loop_
_atom_site_label
_atom_site_type_symbol
_atom_site_fract_x
_atom_site_fract_y
_atom_site_fract_z
_atom_site_occupancy
Ti1 Ti 0.034 0.931 0.240 1
Ti2 Ti 0.111 0.278 0.031 1
Ti3 Ti 0.143 0.833 0.714 1
P1 P 0.043 0.291 0.537 1
```

---

No. 2
This record from the Alexandria database describes a crystal of Ti3TlP relaxed with PBEsol. The functional is meta-GGA SCAN.

Values from the calculation:
ΔE_f	-0.353	eV/atom
E	-26.522	eV/atom
DOS(E_F)	0.730	states/eV per atom
magnetization	0.0	μB/cell
calculated volume	92.5	Å³/cell

```
data_Ti3TlP
_space_group_name_H-M_alt 'P m -3 m'
_space_group_IT_number 221
_space_group_name_Hall '-P 4 2 3'
_cell_length_a 4.523
_cell_length_b 4.523
_cell_length_c 4.523
_cell_angle_alpha 90.00
_cell_angle_beta 90.00
_cell_angle_gamma 90.00
loop_
_atom_site_label
_atom_site_type_symbol
_atom_site_fract_x
_atom_site_fract_y
_atom_site_fract_z
_atom_site_occupancy
Ti1 Ti 0.000 0.000 0.500 1
Tl1 Tl 0.500 0.500 0.500 1
P1 P 0.000 0.000 0.000 1
```

---

No. 3
This record from the Alexandria database describes a crystal of TiVP relaxed with PBEsol. The functional is meta-GGA SCAN.

Values from the calculation:
ΔE_f	-1.179	eV/atom
E	-15.818	eV/atom
DOS(E_F)	0.421	states/eV per atom
magnetization	0.0	μB/cell
calculated volume	157.8	Å³/cell

```
data_TiVP
_space_group_name_H-M_alt 'P n m a'
_space_group_IT_number 62
_cell_length_a 6.299
_cell_length_b 3.303
_cell_length_c 7.586
_cell_angle_alpha 90.00
_cell_angle_beta 90.00
_cell_angle_gamma 90.00
loop_
_space_group_symop_operation_xyz
'x,y,z'
'-x,-y,-z'
'-x+1/2,-y,z+1/2'
'x+1/2,y,-z+1/2'
'x+1/2,-y+1/2,-z+1/2'
'-x+1/2,y+1/2,z+1/2'
'-x,y+1/2,-z'
'x,-y+1/2,z'
loop_
_atom_site_label
_atom_site_type_symbol
_atom_site_fract_x
_atom_site_fract_y
_atom_site_fract_z
_atom_site_occupancy
Ti1 Ti 0.042 0.250 0.168 1
V1 V 0.133 0.250 0.560 1
P1 P 0.246 0.750 0.360 1
```

---

No. 4
This record from the Alexandria database describes a crystal of TiVP relaxed with PBEsol. The functional is meta-GGA SCAN.

Values from the calculation:
ΔE_f	-1.123	eV/atom
E	-15.762	eV/atom
DOS(E_F)	0.575	states/eV per atom
magnetization	0.0	μB/cell
calculated volume	79.4	Å³/cell

```
data_TiVP
_space_group_name_H-M_alt 'P m m n'
_space_group_IT_number 59
_cell_length_a 3.330
_cell_length_b 3.580
_cell_length_c 6.658
_cell_angle_alpha 90.00
_cell_angle_beta 90.00
_cell_angle_gamma 90.00
loop_
_space_group_symop_operation_xyz
'x,y,z'
'-x,-y,-z'
'-x+1/2,-y+1/2,z'
'x+1/2,y+1/2,-z'
'x+1/2,-y,-z'
'-x+1/2,y,z'
'-x,y+1/2,-z'
'x,-y+1/2,z'
loop_
_atom_site_label
_atom_site_type_symbol
_atom_site_fract_x
_atom_site_fract_y
_atom_site_fract_z
_atom_site_occupancy
Ti1 Ti 0.250 0.250 0.141 1
V1 V 0.250 0.750 0.504 1
P1 P 0.250 0.250 0.764 1
```

---

No. 5
This record from the Alexandria database describes a crystal of TiP3W relaxed with PBEsol. The functional is meta-GGA SCAN.

Values from the calculation:
ΔE_f	1.134	eV/atom
E	-22.249	eV/atom
DOS(E_F)	0.673	states/eV per atom
magnetization	2.9	μB/cell
calculated volume	92.6	Å³/cell

```
data_TiP3W
_space_group_name_H-M_alt 'P m -3 m'
_space_group_IT_number 221
_space_group_name_Hall '-P 4 2 3'
_cell_length_a 4.524
_cell_length_b 4.524
_cell_length_c 4.524
_cell_angle_alpha 90.00
_cell_angle_beta 90.00
_cell_angle_gamma 90.00
loop_
_atom_site_label
_atom_site_type_symbol
_atom_site_fract_x
_atom_site_fract_y
_atom_site_fract_z
_atom_site_occupancy
Ti1 Ti 0.000 0.000 0.000 1
P1 P 0.000 0.000 0.500 1
W1 W 0.500 0.500 0.500 1
```

---

No. 6
This record from the Alexandria database describes a crystal of TiP4W3 relaxed with PBEsol. The functional is meta-GGA SCAN.

Values from the calculation:
ΔE_f	-0.555	eV/atom
E	-33.891	eV/atom
DOS(E_F)	0.503	states/eV per atom
magnetization	0.0	μB/cell
calculated volume	114.9	Å³/cell

```
data_TiP4W3
_space_group_name_H-M_alt 'P 1 m 1'
_space_group_IT_number 6
_cell_length_a 5.678
_cell_length_b 3.227
_cell_length_c 6.273
_cell_angle_alpha 90.00
_cell_angle_beta 90.25
_cell_angle_gamma 90.00
loop_
_space_group_symop_operation_xyz
'x,y,z'
'x,-y,z'
loop_
_atom_site_label
_atom_site_type_symbol
_atom_site_fract_x
_atom_site_fract_y
_atom_site_fract_z
_atom_site_occupancy
Ti1 Ti 0.000 0.000 0.000 1
P1 P 0.196 0.500 0.758 1
P2 P 0.321 0.000 0.254 1
P3 P 0.693 0.500 0.130 1
P4 P 0.822 0.000 0.623 1
W1 W 0.020 0.500 0.379 1
W2 W 0.502 0.000 0.880 1
W3 W 0.518 0.500 0.503 1
```

---

No. 7
This record from the Alexandria database describes a crystal of TiZn3P relaxed with PBEsol. The functional is meta-GGA SCAN.

Values from the calculation:
ΔE_f	1.267	eV/atom
E	-12.128	eV/atom
DOS(E_F)	0.523	states/eV per atom
magnetization	1.2	μB/cell
calculated volume	110.7	Å³/cell

```
data_TiZn3P
_space_group_name_H-M_alt 'P m -3 m'
_space_group_IT_number 221
_space_group_name_Hall '-P 4 2 3'
_cell_length_a 4.802
_cell_length_b 4.802
_cell_length_c 4.802
_cell_angle_alpha 90.00
_cell_angle_beta 90.00
_cell_angle_gamma 90.00
loop_
_atom_site_label
_atom_site_type_symbol
_atom_site_fract_x
_atom_site_fract_y
_atom_site_fract_z
_atom_site_occupancy
Ti1 Ti 0.000 0.000 0.000 1
Zn1 Zn 0.000 0.000 0.500 1
P1 P 0.500 0.500 0.500 1
```

---

No. 8
This record from the Alexandria database describes a crystal of Zr2TiP2 relaxed with PBEsol. The functional is meta-GGA SCAN.

Values from the calculation:
ΔE_f	-1.301	eV/atom
E	-20.946	eV/atom
DOS(E_F)	0.252	states/eV per atom
magnetization	0.0	μB/cell
calculated volume	161.9	Å³/cell

```
data_Zr2TiP2
_space_group_name_H-M_alt 'P 4/m b m'
_space_group_IT_number 127
_space_group_name_Hall '-P 4 2ab'
_cell_length_a 6.685
_cell_length_b 6.685
_cell_length_c 3.622
_cell_angle_alpha 90.00
_cell_angle_beta 90.00
_cell_angle_gamma 90.00
loop_
_atom_site_label
_atom_site_type_symbol
_atom_site_fract_x
_atom_site_fract_y
_atom_site_fract_z
_atom_site_occupancy
Zr1 Zr 0.166 0.334 0.000 1
Ti1 Ti 0.000 0.000 0.500 1
P1 P 0.138 0.638 0.500 1
```